Entry 1:
## Li2LaMg2Hg2 (PBE)

Data for an optimized crystal structure of Li2LaMg2Hg2.

ΔH_f (0 K) = -0.2907 eV/atom
SG = R-3m
crystal system = trigonal

Lattice parameters (Å, degrees): 8.698 8.698 8.698 31.91 31.91 31.91
Element x y z (fractional)
Li1 0.069 0.069 0.069
Li2 0.931 0.931 0.931
La1 0.500 0.500 0.500
Mg1 0.361 0.361 0.361
Mg2 0.639 0.639 0.639
Hg1 0.243 0.243 0.243
Hg2 0.757 0.757 0.757


Entry 2:
## Li3La2Mg12Hg (PBE)

Data for an optimized crystal structure of Li3La2Mg12Hg.

ΔH_f (0 K) = 0.0981 eV/atom
SG = R-3m
crystal system = trigonal

Lattice parameters (Å, degrees): 7.777 7.777 7.777 83.17 83.17 83.17
Element x y z (fractional)
Li1 0.000 0.500 0.500
Li2 0.500 0.000 0.500
Li3 0.500 0.500 0.000
La1 0.106 0.106 0.106
La2 0.894 0.894 0.894
Mg1 0.120 0.120 0.546
Mg2 0.120 0.546 0.120
Mg3 0.220 0.692 0.692
Mg4 0.308 0.308 0.780
Mg5 0.308 0.780 0.308
Mg6 0.454 0.880 0.880
Mg7 0.546 0.120 0.120
Mg8 0.692 0.220 0.692
Mg9 0.692 0.692 0.220
Mg10 0.780 0.308 0.308
Mg11 0.880 0.454 0.880
Mg12 0.880 0.880 0.454
Hg1 0.500 0.500 0.500


Entry 3:
## LiLa2HgN (PBE)

Data for an optimized crystal structure of LiLa2HgN.

formation energy without anion corrections = -708.6 meV per atom
SG = P4/mmm
crystal system = tetragonal

Lattice parameters (Å, degrees): 5.158 5.158 4.258 90.00 90.00 90.00
Element x y z (fractional)
Li1 0.000 0.000 0.000
La1 0.000 0.500 0.500
La2 0.500 0.000 0.500
Hg1 0.500 0.500 0.000
N1 0.000 0.000 0.500


Entry 4:
## NaLiLaHg (PBE)

Data for an optimized crystal structure of NaLiLaHg.

ΔH_f (0 K) = -0.1365 eV/atom
SG = F-43m
crystal system = cubic

Lattice parameters (Å, degrees): 7.552 7.552 7.552 90.00 90.00 90.00
Element x y z (fractional)
Na1 0.000 0.000 0.000
Na2 0.000 0.500 0.500
Na3 0.500 0.000 0.500
Na4 0.500 0.500 0.000
Li1 0.250 0.250 0.250
Li2 0.250 0.750 0.750
Li3 0.750 0.250 0.750
Li4 0.750 0.750 0.250
La1 0.000 0.000 0.500
La2 0.000 0.500 0.000
La3 0.500 0.000 0.000
La4 0.500 0.500 0.500
Hg1 0.250 0.250 0.750
Hg2 0.250 0.750 0.250
Hg3 0.750 0.250 0.250
Hg4 0.750 0.750 0.750


Entry 5:
## Li2LaNd2Hg2 (PBE)

Data for an optimized crystal structure of Li2LaNd2Hg2.

ΔH_f (0 K) = -0.2282 eV/atom
SG = R-3m
crystal system = trigonal

Lattice parameters (Å, degrees): 9.567 9.567 9.567 29.59 29.59 29.59
Element x y z (fractional)
Li1 0.098 0.098 0.098
Li2 0.902 0.902 0.902
La1 0.500 0.500 0.500
Nd1 0.373 0.373 0.373
Nd2 0.627 0.627 0.627
Hg1 0.239 0.239 0.239
Hg2 0.761 0.761 0.761


Entry 6:
## LiLa2NiHg (PBE)

Data for an optimized crystal structure of LiLa2NiHg.

ΔH_f (0 K) = -0.1323 eV/atom
SG = P4/mmm
crystal system = tetragonal
excess energy over the best structure of this formula in the dataset = 0.0677 eV per atom

Lattice parameters (Å, degrees): 5.372 5.372 5.044 90.00 90.00 90.00
Element x y z (fractional)
Li1 0.000 0.000 0.000
La1 0.000 0.500 0.500
La2 0.500 0.000 0.500
Ni1 0.500 0.500 0.500
Hg1 0.500 0.500 0.000